PBE-GGA Pa2MnVN6, relaxed; calculated density = 8.7 Mg/m³; formation energy without anion corrections = -972 meV/atom; density of states at the Fermi level = 0.291 states/eV per atom; SG = No. 99
1.0
4.4663 0.0000 0.0000
0.0000 5.2725 0.0000
0.0000 0.0000 5.2725
Pa Mn V N
2 1 1 6
direct
0.0013 0.5000 0.0000
0.0013 0.0000 0.5000
0.6028 0.0000 0.0000
0.5831 0.5000 0.5000
0.7185 0.2520 0.2520
0.7185 0.2520 0.7480
0.1933 0.5000 0.5000
0.1909 0.0000 0.0000
0.7185 0.7480 0.7480
0.7185 0.7480 0.2520